(1)
# AcPrY6Er2

An optimized crystal structure of AcPrY6Er2 (PBE, Alexandria).

Results
DFT formation energy: 128 meV per atom
D(E_F): 15.760 states/eV/f.u.
Space-group type: C2/c, No. 15
Crystal system: monoclinic
DFT total energy: -111.04 eV for the cell shown
Spin magnetization: 0.001 μB per cell

a = 8.946 Å, b = 8.946 Å, c = 9.631 Å
α = 92.83°, β = 92.83°, γ = 117.20°
Positions (direct):
Ac 0.033 0.967 0.750
Ac 0.967 0.033 0.250
Pr 0.411 0.589 0.250
Pr 0.589 0.411 0.750
Y 0.017 0.556 0.678
Y 0.121 0.752 0.058
Y 0.248 0.879 0.442
Y 0.291 0.513 0.886
Y 0.444 0.983 0.822
Y 0.487 0.709 0.614
Y 0.513 0.291 0.386
Y 0.556 0.017 0.178
Y 0.709 0.487 0.114
Y 0.752 0.121 0.558
Y 0.879 0.248 0.942
Y 0.983 0.444 0.322
Er 0.198 0.309 0.551
Er 0.309 0.198 0.051
Er 0.691 0.802 0.949
Er 0.802 0.691 0.449

(2)
# ZnAg3Sb

An optimized crystal structure of ZnAg3Sb (PBE, Alexandria).

Results
Energy above the most stable polymorph in this dataset: 0.0 meV per atom
D(E_F): 0.000 states/eV/f.u.
Space-group type: Pm-3m, No. 221
Crystal system: cubic
DFT total energy: -11.76 eV for the cell shown
Spin magnetization: 0.000 μB per cell

a = 5.312 Å, b = 5.312 Å, c = 5.312 Å
α = 90.00°, β = 90.00°, γ = 90.00°
Positions (direct):
Zn 0.000 0.000 0.000
Ag 0.000 0.500 0.500
Ag 0.500 0.000 0.500
Ag 0.500 0.500 0.000
Sb 0.500 0.500 0.500

(3)
# KEu2Cl7

An optimized crystal structure of KEu2Cl7 (PBE, Alexandria).

Results
D(E_F): 20.478 states/eV/f.u.
Space-group type: P2_1/c, No. 14
Crystal system: monoclinic
DFT total energy: -214.18 eV for the cell shown
Spin magnetization: 47.903 μB per cell

a = 7.093 Å, b = 13.129 Å, c = 13.310 Å
α = 90.00°, β = 92.63°, γ = 90.00°
Positions (direct):
K 0.198 0.220 0.475
K 0.198 0.280 0.975
K 0.802 0.720 0.025
K 0.802 0.780 0.525
Eu 0.216 0.540 0.256
Eu 0.216 0.960 0.756
Eu 0.283 0.662 0.753
Eu 0.283 0.838 0.253
Eu 0.717 0.162 0.747
Eu 0.717 0.338 0.247
Eu 0.784 0.040 0.244
Eu 0.784 0.460 0.744
Cl 0.001 0.706 0.320
Cl 0.001 0.794 0.820
Cl 0.026 0.569 0.620
Cl 0.026 0.931 0.120
Cl 0.079 0.525 0.873
Cl 0.079 0.975 0.373
Cl 0.254 0.687 0.104
Cl 0.254 0.813 0.604
Cl 0.436 0.064 0.622
Cl 0.436 0.436 0.122
Cl 0.449 0.094 0.875
Cl 0.449 0.406 0.375
Cl 0.485 0.675 0.340
Cl 0.485 0.825 0.840
Cl 0.515 0.175 0.160
Cl 0.515 0.325 0.660
Cl 0.551 0.594 0.625
Cl 0.551 0.906 0.125
Cl 0.564 0.564 0.878
Cl 0.564 0.936 0.378
Cl 0.746 0.187 0.396
Cl 0.746 0.313 0.896
Cl 0.921 0.025 0.627
Cl 0.921 0.475 0.127
Cl 0.974 0.069 0.880
Cl 0.974 0.431 0.380
Cl 0.999 0.206 0.180
Cl 0.999 0.294 0.680